[1]
Compound: LaFeH6
Source: the Alexandria database
Functional: PBE-GGA
Structure: optimized geometry

CIF file:
```
data_LaFeH6
_chemical_formula_sum 'La3 Fe3 H18'
_cell_length_a 4.6139
_cell_length_b 4.6139
_cell_length_c 10.9627
_cell_angle_alpha 90.00
_cell_angle_beta 90.00
_cell_angle_gamma 120.00
_space_group_name_H-M_alt 'R -3 m'
_space_group_IT_number 166
_space_group_name_Hall '-R 3 2"'
loop_
_atom_site_label
_atom_site_fract_x
_atom_site_fract_y
_atom_site_fract_z
La1 0.0000 0.0000 0.0000
Fe1 0.0000 0.0000 0.5000
H1 0.0093 0.5047 0.9050
```

Results
As for the raw total energy: -4.474 eV per atom. The total magnetization is 3.00 Bohr magnetons per cell.



[2]
Compound: PaTiTe
Source: the Alexandria database
Functional: PBE-GGA
Structure: optimized geometry

CIF file:
```
data_PaTiTe
_chemical_formula_sum 'Pa1 Ti1 Te1'
_cell_length_a 4.7482
_cell_length_b 4.7482
_cell_length_c 3.5261
_cell_angle_alpha 90.00
_cell_angle_beta 90.00
_cell_angle_gamma 120.00
_space_group_name_H-M_alt 'P -6 m 2'
_space_group_IT_number 187
_space_group_name_Hall 'P -6 2'
loop_
_atom_site_label
_atom_site_fract_x
_atom_site_fract_y
_atom_site_fract_z
Pa1 0.0000 0.0000 0.0000
Ti1 0.6667 0.3333 0.5000
Te1 0.3333 0.6667 0.5000
```

Results
As for the uncorrected formation energy: -270 meV per atom. As for the raw total energy: -7.114 eV per atom. The total magnetization is 0.00 Bohr magnetons per cell.



[3]
Compound: K3YAs2O8
Source: the Alexandria database
Functional: PBE-GGA
Structure: optimized geometry

CIF file:
```
data_K3YAs2O8
_chemical_formula_sum 'K3 Y1 As2 O8'
_cell_length_a 5.9356
_cell_length_b 5.9356
_cell_length_c 7.7446
_cell_angle_alpha 90.00
_cell_angle_beta 90.00
_cell_angle_gamma 120.00
_space_group_name_H-M_alt 'P -3 m 1'
_space_group_IT_number 164
_space_group_name_Hall '-P 3 2"'
loop_
_atom_site_label
_atom_site_fract_x
_atom_site_fract_y
_atom_site_fract_z
K1 0.0000 0.0000 0.0000
K2 0.3333 0.6667 0.6984
Y1 0.0000 0.0000 0.5000
As1 0.3333 0.6667 0.2430
O1 0.1768 0.3535 0.3274
O2 0.3333 0.6667 0.0267
```

Results
As for the uncorrected formation energy: -2009 meV per atom. As for the raw total energy: -6.204 eV per atom. The total magnetization is 0.00 Bohr magnetons per cell.



[4]
Compound: Li3Sm2Cu2
Source: the Alexandria database
Functional: PBE-GGA
Structure: optimized geometry

CIF file:
```
data_Li3Sm2Cu2
_chemical_formula_sum 'Li6 Sm4 Cu4'
_cell_length_a 4.256
_cell_length_b 20.440
_cell_length_c 3.687
_cell_angle_alpha 90.00
_cell_angle_beta 90.00
_cell_angle_gamma 90.00
_space_group_name_H-M_alt 'C m m m'
_space_group_IT_number 65
_space_group_name_Hall '-C 2 2'
loop_
_atom_site_label
_atom_site_fract_x
_atom_site_fract_y
_atom_site_fract_z
Li1 0.000 0.000 0.000
Li2 0.000 0.428 0.500
Sm1 0.000 0.172 0.000
Cu1 0.000 0.286 0.500
```

Results
As for the raw total energy: -3.407 eV per atom. The total magnetization is 0.00 Bohr magnetons per cell. The formation energy comes out at -7 kJ/mol of atoms.



[5]
Compound: H3Pb
Source: the Alexandria database
Functional: PBE-GGA
Structure: optimized geometry

CIF file:
```
data_H3Pb
_chemical_formula_sum 'H12 Pb4'
_cell_length_a 5.444
_cell_length_b 5.444
_cell_length_c 5.444
_cell_angle_alpha 90.00
_cell_angle_beta 90.00
_cell_angle_gamma 90.00
_space_group_name_H-M_alt 'F m -3 m'
_space_group_IT_number 225
_space_group_name_Hall '-F 4 2 3'
loop_
_atom_site_label
_atom_site_fract_x
_atom_site_fract_y
_atom_site_fract_z
H1 0.000 0.000 0.000
H2 0.250 0.250 0.250
Pb1 0.000 0.000 0.500
```

Results
As for the raw total energy: -2.697 eV per atom. The total magnetization is 0.00 Bohr magnetons per cell.



[6]
Compound: Zr2TeAu
Source: the Alexandria database
Functional: PBE-GGA
Structure: optimized geometry

CIF file:
```
data_Zr2TeAu
_chemical_formula_sum 'Zr8 Te4 Au4'
_cell_length_a 7.110
_cell_length_b 7.110
_cell_length_c 7.110
_cell_angle_alpha 90.00
_cell_angle_beta 90.00
_cell_angle_gamma 90.00
_space_group_name_H-M_alt 'F -4 3 m'
_space_group_IT_number 216
_space_group_name_Hall 'F -4 2 3'
loop_
_atom_site_label
_atom_site_fract_x
_atom_site_fract_y
_atom_site_fract_z
Zr1 0.000 0.000 0.000
Zr2 0.250 0.250 0.250
Te1 0.000 0.000 0.500
Au1 0.250 0.250 0.750
```

Results
As for the uncorrected formation energy: 92 meV per atom. As for the raw total energy: -5.787 eV per atom. The total magnetization is 7.28 Bohr magnetons per cell.



[7]
Compound: TmPuGaOs
Source: the Alexandria database
Functional: PBE-GGA
Structure: optimized geometry

CIF file:
```
data_TmPuGaOs
_chemical_formula_sum 'Tm4 Pu4 Ga4 Os4'
_cell_length_a 6.905
_cell_length_b 6.905
_cell_length_c 6.905
_cell_angle_alpha 90.00
_cell_angle_beta 90.00
_cell_angle_gamma 90.00
_space_group_name_H-M_alt 'F -4 3 m'
_space_group_IT_number 216
_space_group_name_Hall 'F -4 2 3'
loop_
_atom_site_label
_atom_site_fract_x
_atom_site_fract_y
_atom_site_fract_z
Tm1 0.000 0.000 0.000
Pu1 0.000 0.000 0.500
Ga1 0.250 0.250 0.250
Os1 0.250 0.250 0.750
```

Results
As for the raw total energy: -8.492 eV per atom. The total magnetization is 19.36 Bohr magnetons per cell. The formation energy comes out at -22 kJ/mol of atoms.



[8]
Compound: Ti3AuC
Source: the Alexandria database
Functional: PBE-GGA
Structure: optimized geometry

CIF file:
```
data_Ti3AuC
_chemical_formula_sum 'Ti18 Au6 C6'
_cell_length_a 7.5471
_cell_length_b 7.5471
_cell_length_c 9.1849
_cell_angle_alpha 90.00
_cell_angle_beta 90.00
_cell_angle_gamma 120.00
_space_group_name_H-M_alt 'R -3 c'
_space_group_IT_number 167
_space_group_name_Hall '-R 3 2"c'
loop_
_atom_site_label
_atom_site_fract_x
_atom_site_fract_y
_atom_site_fract_z
Ti1 0.0000 0.2628 0.2500
Au1 0.0000 0.0000 0.0000
C1 0.0000 0.0000 0.2500
```

Results
As for the raw total energy: -7.221 eV per atom. The total magnetization is 0.00 Bohr magnetons per cell. The formation energy comes out at 2 kJ/mol of atoms.



[9]
Compound: SrMgMo2
Source: the Alexandria database
Functional: PBE-GGA
Structure: optimized geometry

CIF file:
```
data_SrMgMo2
_chemical_formula_sum 'Sr1 Mg1 Mo2'
_cell_length_a 2.815
_cell_length_b 5.282
_cell_length_c 5.595
_cell_angle_alpha 90.00
_cell_angle_beta 99.30
_cell_angle_gamma 90.00
_space_group_name_H-M_alt 'P 1 2/m 1'
_space_group_IT_number 10
loop_
_space_group_symop_operation_xyz
'x,y,z'
'-x,-y,-z'
'-x,y,-z'
'x,-y,z'
loop_
_atom_site_label
_atom_site_fract_x
_atom_site_fract_y
_atom_site_fract_z
Sr1 0.000 0.000 0.000
Mg1 0.500 0.000 0.500
Mo1 0.327 0.500 0.764
```

Results
As for the raw total energy: -5.323 eV per atom. The total magnetization is 0.00 Bohr magnetons per cell. The formation energy comes out at 88 kJ/mol of atoms.



Look up the raw total energy of the first one.
-4.474 eV per atom



The lowest raw total energy belongs to which entry?
TmPuGaOs



What did the ninth record say?
Compound: SrMgMo2
Source: the Alexandria database
Functional: PBE-GGA
Structure: optimized geometry

CIF file:
```
data_SrMgMo2
_chemical_formula_sum 'Sr1 Mg1 Mo2'
_cell_length_a 2.815
_cell_length_b 5.282
_cell_length_c 5.595
_cell_angle_alpha 90.00
_cell_angle_beta 99.30
_cell_angle_gamma 90.00
_space_group_name_H-M_alt 'P 1 2/m 1'
_space_group_IT_number 10
loop_
_space_group_symop_operation_xyz
'x,y,z'
'-x,-y,-z'
'-x,y,-z'
'x,-y,z'
loop_
_atom_site_label
_atom_site_fract_x
_atom_site_fract_y
_atom_site_fract_z
Sr1 0.000 0.000 0.000
Mg1 0.500 0.000 0.500
Mo1 0.327 0.500 0.764
```

Results
As for the raw total energy: -5.323 eV per atom. The total magnetization is 0.00 Bohr magnetons per cell. The formation energy comes out at 88 kJ/mol of atoms.



raw total energy of number 5 (H3Pb)?
-2.697 eV per atom